SrP2Os: relaxed, PBE.

Unit cell a=6.5115 b=6.5115 c=6.5115 alpha=90.00 beta=90.00 gamma=90.00
Space group Fm-3m (No. 225)
One atom of each set of equivalent atoms:
Sr 0.0000 0.0000 0.0000 x4
P 0.2500 0.2500 0.2500 x8
Os 0.0000 0.0000 0.5000 x4

Results
Energy relative to the elements: 0.474 eV per formula unit
Final energy: -93.03 eV per cell
Magnetic moment: 0.0 Bohr magnetons per cell